# Th2Pd2Au

A relaxed Th2Pd2Au crystal (PBE-GGA, OQMD via LeMat-Bulk).

Results
ΔH_f (0 K) (eV per atom): -0.815
ρ (Mg/m³): 12.50
Calculated volume (Å³ per cell): 232.1
DFT total energy (eV per atom): -6.50
Size of the total moment (μB per formula unit): 0.01

Geometry as CIF:
```
data_Th2Pd2Au
_cell_length_a 7.745
_cell_length_b 7.745
_cell_length_c 3.869
_cell_angle_alpha 90.00
_cell_angle_beta 90.00
_cell_angle_gamma 90.00
_symmetry_space_group_name_H-M 'P 4/m b m'
_symmetry_Int_Tables_number 127
_symmetry_space_group_name_Hall '-P 4 2ab'
loop_
_atom_site_label
_atom_site_fract_x
_atom_site_fract_y
_atom_site_fract_z
_atom_site_occupancy
Th1 0.178 0.322 0.000 1
Pd1 0.127 0.627 0.500 1
Au1 0.000 0.000 0.500 1
```